Entry from Alexandria: a geometry-optimized BaCaY2Pd structure (PBE-GGA).

Cell: 5.580 5.580 5.881 Å, 90.00 90.00 90.00°
Space group P4/mmm (No. 123)
Inequivalent atoms, fractional coordinates:
Ba  0.000  0.000  0.000 (multiplicity 1)
Ca  0.500  0.500  0.000 (multiplicity 1)
Y  0.000  0.500  0.500 (multiplicity 2)
Pd  0.500  0.500  0.500 (multiplicity 1)

Values from the calculation:
- Crystal system: tetragonal
- Total magnetic moment: 0.00 μB per cell
- Fermi-level density of states: 4.663 states/eV per cell
- Energy relative to the elements: -0.232 eV/atom